ZrCr2W | GGA-PBE | relaxed

Summary:
N(E_F) (states/eV per cell): 4.4
Energy above the most stable polymorph in this dataset (meV/atom): 11.2
E (eV/cell): -40.18
Total moment (μB per formula unit): 0.000

Cell lengths 4.406, 4.406, 4.406 Å; angles 60.00, 60.00, 60.00 degrees
Sites, in units of the cell vectors:
1 W 0.500 0.500 0.500
2 Cr 0.250 0.250 0.250
3 Cr 0.750 0.750 0.750
4 Zr 0.000 0.000 0.000